A.
The following is a DFT calculation (PBE-GGA) of a relaxed structure of Rb2CuF7.

```
Rb2CuF7
1.0
-3.0514 3.0514 4.2810
3.0514 -3.0514 4.2810
3.0514 3.0514 -4.2810
Rb Cu F
2 1 7
direct
0.2500 0.7500 0.5000
0.7500 0.2500 0.5000
0.0000 0.0000 0.0000
0.2134 0.2134 0.4268
0.2134 0.7866 0.0000
0.2158 0.2158 0.0000
0.5000 0.5000 0.0000
0.7842 0.7842 0.0000
0.7866 0.2134 0.0000
0.7866 0.7866 0.5732
```

Calculated values
total moment = 0.0 μB/cell
mass density = 3827 kg/m³
space-group type = I4/mmm, No. 139

---

B.
The following is a DFT calculation (PBE-GGA) of a relaxed structure of Rb2CuF7.

```
Rb2CuF7
1.0
6.4423 0.0000 0.0000
2.8682 7.1553 0.0000
2.5224 0.2261 7.4836
Rb Cu F
4 2 14
direct
0.1567 0.2230 0.4699
0.1881 0.7247 0.9194
0.8119 0.2753 0.0806
0.8433 0.7770 0.5301
0.4429 0.7721 0.2641
0.5571 0.2279 0.7359
0.0060 0.4946 0.2053
0.1742 0.9629 0.2031
0.2919 0.8235 0.4992
0.3070 0.6021 0.2727
0.3144 0.4380 0.6404
0.3996 0.2872 0.9650
0.4109 0.0644 0.7446
0.5891 0.9356 0.2554
0.6004 0.7128 0.0350
0.6856 0.5620 0.3596
0.6930 0.3979 0.7273
0.7081 0.1765 0.5008
0.8258 0.0371 0.7969
0.9940 0.5054 0.7947
```

Calculated values
total moment = 4.0 μB/cell
mass density = 3538 kg/m³
space-group type = P-1, No. 2

---

Bottom line: A, by a margin of 17 meV/atom.

---

A.
The following is a DFT calculation (PBE-GGA) of a relaxed structure of RbCu2F.

```
RbCu2F
1.0
-1.7991 1.7991 13.0953
1.7991 -1.7991 13.0953
1.7991 1.7991 -13.0953
Rb Cu F
2 4 2
direct
0.0000 0.0000 0.0000
0.7500 0.2500 0.5000
0.1272 0.1250 0.5022
0.3750 0.8728 0.9978
0.6228 0.6250 0.4978
0.8750 0.3772 0.0022
0.2500 0.7500 0.5000
0.5000 0.5000 0.0000
```

Calculated values
total moment = 0.0 μB/cell
mass density = 4536 kg/m³
space-group type = I-42d, No. 122

---

B.
The following is a DFT calculation (PBE-GGA) of a relaxed structure of RbCu2F.

```
RbCu2F
1.0
0.0000 3.5099 3.5099
3.5099 0.0000 3.5099
3.5099 3.5099 0.0000
Rb Cu F
1 2 1
direct
0.0000 0.0000 0.0000
0.2500 0.2500 0.2500
0.7500 0.7500 0.7500
0.5000 0.5000 0.5000
```

Calculated values
total moment = 0.0 μB/cell
mass density = 4446 kg/m³
space-group type = Fm-3m, No. 225

---

Bottom line: A, by a margin of 1007 meV/atom.